The following is a DFT calculation (PBE-GGA) of a relaxed KMg2Sb crystal.

Cell and atoms, written as POSCAR:
```
KMg2Sb
1.0
4.6784 0.0000 0.0000
0.0000 5.1802 0.0000
0.0000 0.0000 10.2890
K Mg Sb
2 4 2
direct
0.0000 0.0000 0.0000 K
0.5000 0.5000 0.0000 K
0.0000 0.5000 0.2974 Mg
0.0000 0.5000 0.7026 Mg
0.5000 0.0000 0.2974 Mg
0.5000 0.0000 0.7026 Mg
0.0000 0.0000 0.5000 Sb
0.5000 0.5000 0.5000 Sb
```

Summary:
total moment	0.00	μB per formula unit
volume	249	Å³ per cell
total energy	-2.0500	eV per atom

---

The following is a DFT calculation (PBE-GGA) of a relaxed CaMgIn2 crystal.

Cell and atoms, written as POSCAR:
```
CaMgIn2
1.0
3.4807 0.0000 0.0000
0.0000 5.6790 0.0000
0.0000 0.0000 12.4427
Ca Mg In
2 2 4
direct
0.0000 0.0000 0.0000 Ca
0.5000 0.5000 0.5000 Ca
0.0000 0.0000 0.5000 Mg
0.5000 0.5000 0.0000 Mg
0.0000 0.0000 0.2675 In
0.0000 0.0000 0.7325 In
0.5000 0.5000 0.2325 In
0.5000 0.5000 0.7675 In
```

Summary:
DFT formation energy	0.089	eV/atom
total moment	0.00	μB per formula unit
volume	246	Å³ per cell

---

The following is a DFT calculation (PBE-GGA) of a relaxed Th8FeRh2 crystal.

Cell and atoms, written as POSCAR:
```
Th8FeRh2
1.0
9.1076 -1.8892 0.0000
9.1076 1.8892 0.0000
-0.7427 0.0000 8.8100
Th Fe Rh
8 1 2
direct
0.0114 0.0114 0.2040 Th
0.2160 0.2160 0.3382 Th
0.3401 0.3401 0.0120 Th
0.4081 0.4081 0.4741 Th
0.5919 0.5919 0.5259 Th
0.6599 0.6599 0.9880 Th
0.7840 0.7840 0.6618 Th
0.9886 0.9886 0.7960 Th
0.5000 0.5000 0.0000 Fe
0.1693 0.1693 0.7387 Rh
0.8307 0.8307 0.2613 Rh
```

Summary:
DFT formation energy	-0.347	eV/atom
total moment	0.00	μB per formula unit
volume	303	Å³ per cell

---

The following is a DFT calculation (PBE-GGA) of a relaxed Ce2IBr crystal.

Cell and atoms, written as POSCAR:
```
Ce2IBr
1.0
3.8478 0.0000 0.0000
-1.9239 3.3323 0.0000
0.0000 0.0000 27.2309
Ce I Br
6 3 3
direct
0.0000 0.0000 0.2453 Ce
0.0000 0.0000 0.7547 Ce
0.3333 0.6667 0.4213 Ce
0.3333 0.6667 0.9120 Ce
0.6667 0.3333 0.0880 Ce
0.6667 0.3333 0.5787 Ce
0.0000 0.0000 0.0000 I
0.3333 0.6667 0.6667 I
0.6667 0.3333 0.3333 I
0.0000 0.0000 0.5000 Br
0.3333 0.6667 0.1667 Br
0.6667 0.3333 0.8333 Br
```

Summary:
total moment	2.44	μB per formula unit
volume	349	Å³ per cell
offset from the most stable computed form	0	meV per atom

---

The following is a DFT calculation (PBE-GGA) of a relaxed CaYAs2Br crystal.

Cell and atoms, written as POSCAR:
```
CaYAs2Br
1.0
5.3062 0.0000 0.0000
0.0000 5.3062 0.0000
0.0000 0.0000 5.2679
Ca Y As Br
1 1 2 1
direct
0.0000 0.0000 0.0000 Ca
0.5000 0.5000 0.5000 Y
0.0000 0.5000 0.0000 As
0.5000 0.0000 0.0000 As
0.0000 0.0000 0.5000 Br
```

Summary:
total moment	0.00	μB per formula unit
volume	148	Å³ per cell
offset from the most stable computed form	413	meV per atom

---

The following is a DFT calculation (PBE-GGA) of a relaxed CeY2Lu crystal.

Cell and atoms, written as POSCAR:
```
CeY2Lu
1.0
4.9823 0.0000 0.0000
0.0000 4.9823 0.0000
0.0000 0.0000 5.0076
Ce Y Lu
1 2 1
direct
0.0000 0.0000 0.0000 Ce
0.0000 0.5000 0.5000 Y
0.5000 0.0000 0.5000 Y
0.5000 0.5000 0.0000 Lu
```

Summary:
DFT formation energy	0.076	eV/atom
total moment	0.59	μB per formula unit
volume	124	Å³ per cell
offset from the most stable computed form	3	meV per atom